The following is a PBE-GGA calculation of an optimized crystal structure of YRu3, from Alexandria.

Results
- space-group type = No. 123
- M_tot (μB per formula unit) = 0.86
- formation energy from the elements (eV/atom) = 0.2263

Geometry as extended XYZ:
```
4
Lattice="3.218 0.000 0.000 0.000 3.218 0.000 0.000 0.000 6.658" Properties=species:S:1:pos:R:3 pbc="T T T"
Y 0.000 0.000 0.000
Ru 0.000 0.000 3.329
Ru 1.609 1.609 1.971
Ru 1.609 1.609 4.687
```